# 1
Material: Zr2SbP
Method: DFT, PBE
State: relaxed

Cell: 3.4973 3.6914 6.7106 Å, 90.00 104.54 90.00°
Closest atoms and distances in Å follow each position.
Fractional positions:
Zr: 0.1057 0.0000 0.2705  2 P 2.57
Zr: 0.8943 0.0000 0.7295  2 P 2.57
Sb: 0.5000 0.5000 0.0000  8 Zr 3.04-3.14, 2 P 3.36
P: 0.5000 0.5000 0.5000  4 Zr 2.57

Output
The calculated volume is 84 Å³/cell. As for the space group: P2/m (10). As for the spin magnetization: 0.00 μB/cell. The formation energy without anion corrections is -720 meV/atom.

***

# 2
Material: ZrSb2P
Method: DFT, PBE
State: relaxed

Cell: 3.9677 3.9677 5.6689 Å, 90.00 90.00 90.00°
Closest atoms and distances in Å follow each position.
Fractional positions:
Zr: 0.0000 0.0000 0.0000  2 P 2.83, 8 Sb 3.16
Sb: 0.5000 0.5000 0.2556  2 Sb 2.77-2.90
Sb: 0.5000 0.5000 0.7444  2 Sb 2.77-2.90
P: 0.0000 0.0000 0.5000  2 Zr 2.83, 8 Sb 3.13

Output
The calculated volume is 89 Å³/cell. As for the space group: P4/mmm (123). As for the spin magnetization: 0.00 μB/cell. The formation energy without anion corrections is -123 meV/atom.

***

# 3
Material: ZrSb2P
Method: DFT, PBE
State: relaxed

Cell: 4.9982 4.9982 3.6071 Å, 90.00 90.00 103.36°
Closest atoms and distances in Å follow each position.
Fractional positions:
Zr: 0.0000 0.0000 0.0000  8 Sb 3.08, 2 P 3.10
Sb: 0.0000 0.5000 0.5000  4 P 3.08, 4 Zr 3.08, 2 Sb 3.10
Sb: 0.5000 0.0000 0.5000  4 P 3.08, 4 Zr 3.08, 2 Sb 3.10
P: 0.5000 0.5000 0.0000  8 Sb 3.08, 2 Zr 3.10

Output
The calculated volume is 88 Å³/cell. As for the space group: Cmmm (65). As for the spin magnetization: 0.00 μB/cell. The formation energy without anion corrections is -20 meV/atom.

***

# 4
Material: Zr2SbP
Method: DFT, PBE
State: relaxed

Cell: 3.8084 3.8084 6.0477 Å, 90.00 90.00 90.00°
Closest atoms and distances in Å follow each position.
Fractional positions:
Zr: 0.0000 0.0000 0.0000  1 P 2.64, 4 Sb 2.85
Zr: 0.5000 0.5000 0.3507  4 P 2.74, 2 Sb 3.00-3.05
Sb: 0.5000 0.5000 0.8461  6 Zr 2.85-3.05
P: 0.0000 0.0000 0.4372  5 Zr 2.64-2.74

Output
The calculated volume is 88 Å³/cell. As for the space group: P4mm (99). As for the spin magnetization: 0.00 μB/cell. The formation energy without anion corrections is -826 meV/atom.

***

# 5
Material: ZrSb2P
Method: DFT, PBE
State: relaxed

Cell: 4.3579 3.9225 5.7188 Å, 90.00 112.39 90.00°
Closest atoms and distances in Å follow each position.
Fractional positions:
Zr: 0.0000 0.0000 0.0000  2 P 2.66
Sb: 0.4150 0.5000 0.8298  1 P 2.59
Sb: 0.7020 0.0000 0.4063  4 P 2.95-2.96, 3 Zr 3.06-3.14
P: 0.1674 0.5000 0.3397  1 Sb 2.59, 2 Zr 2.66

Output
The calculated volume is 90 Å³/cell. As for the space group: Pm (6). As for the spin magnetization: 0.00 μB/cell. The formation energy without anion corrections is -412 meV/atom.

***

# 6
Material: ZrSbP2
Method: DFT, PBE
State: relaxed

Cell: 7.0040 7.0040 7.0040 Å, 31.18 31.18 31.18°
Closest atoms and distances in Å follow each position.
Fractional positions:
Zr: 0.0000 0.0000 0.0000  6 P 2.71
Sb: 0.5000 0.5000 0.5000  6 P 2.76
P: 0.2521 0.2521 0.2521  3 Zr 2.71, 3 Sb 2.76
P: 0.7479 0.7479 0.7479  3 Zr 2.71, 3 Sb 2.76

Output
The calculated volume is 82 Å³/cell. As for the space group: R-3m (166). As for the spin magnetization: 0.00 μB/cell. The formation energy without anion corrections is -369 meV/atom.

***

# 7
Material: Zr2SbP
Method: DFT, PBE
State: relaxed

Cell: 7.1501 7.1501 7.1501 Å, 30.93 30.93 30.93°
Closest atoms and distances in Å follow each position.
Fractional positions:
Zr: 0.0000 0.0000 0.0000  3 P 2.62
Zr: 0.1963 0.1963 0.1963  3 P 2.60
Sb: 0.7653 0.7653 0.7653  6 Zr 2.97-2.98
P: 0.5973 0.5973 0.5973  6 Zr 2.60-2.62

Output
The calculated volume is 86 Å³/cell. As for the space group: R3m (160). As for the spin magnetization: 0.00 μB/cell. The formation energy without anion corrections is -1097 meV/atom.

***

# 8
Material: Zr2SbP
Method: DFT, PBE
State: relaxed

Cell: 3.3011 3.3011 7.4783 Å, 90.00 90.00 97.23°
Closest atoms and distances in Å follow each position.
Fractional positions:
Zr: 0.0000 0.0000 0.2088  4 P 2.68-2.93
Zr: 0.0000 0.0000 0.7912  4 P 2.68-2.93
Sb: 0.5000 0.5000 0.5000  8 Zr 3.08-3.30, 4 Sb 3.30
P: 0.5000 0.5000 0.0000  8 Zr 2.68-2.93

Output
The calculated volume is 81 Å³/cell. As for the space group: Cmmm (65). As for the spin magnetization: 0.00 μB/cell. The formation energy without anion corrections is -746 meV/atom.